This record from Alexandria via LeMat-Bulk describes crystalline BeTe2Rh at its relaxed geometry. The functional is PBE.

abc: 4.2659 4.2659 6.4022
angles: 78.16 78.16 51.51
Last column: nearest neighbours and their distance in Å.
Element x y z (fractional)
Te: 0.2786 0.2786 0.3512  1 Be 2.40, 2 Rh 2.67
Te: 0.0139 0.0139 0.8815  2 Be 2.63, 3 Rh 2.74-2.76
Be: 0.4613 0.4613 0.6101  3 Rh 2.28-2.46, 1 Te 2.40
Rh: 0.7461 0.7461 0.6572  3 Be 2.28-2.46

formation energy from raw total energies: -0.25 eV/atom
calculated volume: 22.2 Å³/atom
energy: -0.33716 Ry/atom

=====

This record from Alexandria via LeMat-Bulk describes crystalline Th2Be2Rh5 at its relaxed geometry. The functional is PBE.

abc: 4.2442 4.2442 8.2191
angles: 90.00 90.00 90.00
Last column: nearest neighbours and their distance in Å.
Element x y z (fractional)
Rh: 0.0000 0.5000 0.2453  2 Be 2.24
Rh: 0.0000 0.5000 0.7547  2 Be 2.24
Rh: 0.5000 0.0000 0.7547  2 Be 2.24
Rh: 0.5000 0.5000 0.5000  2 Be 2.80, 8 Rh 2.98, 4 Th 3.00
Rh: 0.5000 0.0000 0.2453  2 Be 2.24
Be: 0.5000 0.5000 0.8402  4 Rh 2.24
Be: 0.5000 0.5000 0.1598  4 Rh 2.24
Th: 0.0000 0.0000 0.0000  8 Rh 2.93, 8 Be 3.28
Th: 0.0000 0.0000 0.5000  12 Rh 2.98-3.00

ΔE_f: -0.823 eV per atom
calculated volume: 16.5 Å³/atom
energy: -0.54269 Ry/atom

=====

This record from Alexandria via LeMat-Bulk describes crystalline Th2BeRh at its relaxed geometry. The functional is PBE.

abc: 4.0133 4.0133 9.4363
angles: 77.72 77.72 60.00
Last column: nearest neighbours and their distance in Å.
Element x y z (fractional)
Rh: 0.5000 0.5000 0.5000  6 Th 2.82
Th: 0.8922 0.8922 0.3235  3 Rh 2.82, 1 Be 2.96
Th: 0.1078 0.1078 0.6765  3 Rh 2.82, 1 Be 2.96
Be: 0.0000 0.0000 0.0000  2 Th 2.96

ΔE_f: 0.466 eV per atom
calculated volume: 31.9 Å³/atom
energy: -0.44200 Ry/atom